1.
# AsPbCl

AsPbCl after structural relaxation (PBE-GGA, Alexandria via LeMat-Bulk).

a = 7.724 Å, b = 7.723 Å, c = 3.386 Å
α = 77.34°, β = 77.33°, γ = 25.33°
Atoms (fractional coordinates):
1 Pb 0.676 0.676 0.324
2 As 0.024 0.024 0.976
3 Cl 0.300 0.300 0.700

Properties
**Formation energy (no corrections)**: -53 meV per atom

2.
# RbCoN3

RbCoN3 after structural relaxation (PBE-GGA, Alexandria via LeMat-Bulk).

a = 4.253 Å, b = 4.253 Å, c = 4.253 Å
α = 90.00°, β = 90.00°, γ = 90.00°
Atoms (fractional coordinates):
1 Co 0.500 0.500 0.500
2 Rb 0.000 0.000 0.000
3 N 0.000 0.500 0.000
4 N 0.000 0.000 0.500
5 N 0.500 0.000 0.000

Properties
**Formation energy (no corrections)**: 3924 meV per atom

3.
# Ba2CdMoOs

Ba2CdMoOs after structural relaxation (PBE-GGA, Alexandria via LeMat-Bulk).

a = 6.250 Å, b = 4.773 Å, c = 6.250 Å
α = 90.00°, β = 90.00°, γ = 90.00°
Atoms (fractional coordinates):
1 Mo 0.000 0.500 0.000
2 Os 0.000 0.000 0.000
3 Ba 0.000 0.000 0.500
4 Ba 0.500 0.000 0.000
5 Cd 0.500 0.500 0.500

Properties
**DFT formation energy**: 0.72 eV/atom

4.
# PrSmCo4

PrSmCo4 after structural relaxation (PBE-GGA, Alexandria via LeMat-Bulk).

a = 3.894 Å, b = 5.730 Å, c = 5.730 Å
α = 72.24°, β = 70.14°, γ = 70.14°
Atoms (fractional coordinates):
1 Pr 0.000 0.000 0.000
2 Sm 0.500 0.500 0.500
3 Co 0.752 0.581 0.915
4 Co 0.752 0.915 0.581
5 Co 0.248 0.419 0.085
6 Co 0.248 0.085 0.419

Properties
**DFT formation energy**: -0.08 eV/atom